DFT (PBE) results for SrY2Cd3 after structural relaxation.

a = 3.8245 Å, b = 3.8245 Å, c = 11.6519 Å
α = 90.00°, β = 90.00°, γ = 90.00°
Atoms (fractional coordinates):
Sr 0.0000 0.0000 0.0000
Y 0.0000 0.0000 0.3424
Y 0.0000 0.0000 0.6576
Cd 0.5000 0.5000 0.1924
Cd 0.5000 0.5000 0.5000
Cd 0.5000 0.5000 0.8076

Summary:
**SG**: No. 123
**E_tot**: -3.232 eV/atom



DFT (PBE) results for SrYCd3 after structural relaxation.

a = 15.1101 Å, b = 15.1101 Å, c = 5.0157 Å
α = 90.00°, β = 90.00°, γ = 165.61°
Atoms (fractional coordinates):
Sr 0.0768 0.9232 0.7500
Sr 0.9232 0.0768 0.2500
Y 0.2132 0.7868 0.2500
Y 0.7868 0.2132 0.7500
Cd 0.3191 0.6809 0.2500
Cd 0.3746 0.6254 0.7500
Cd 0.4743 0.5257 0.7500
Cd 0.5257 0.4743 0.2500
Cd 0.6254 0.3746 0.2500
Cd 0.6809 0.3191 0.7500

Summary:
**SG**: No. 63
**E_tot**: -2.487 eV/atom
**Energy above the lowest structure with this stoichiometry**: 0 meV per atom



DFT (PBE) results for SrY3Cd after structural relaxation.

a = 5.6893 Å, b = 5.6893 Å, c = 5.6893 Å
α = 90.00°, β = 90.00°, γ = 90.00°
Atoms (fractional coordinates):
Sr 0.0000 0.0000 0.0000
Y 0.0000 0.0000 0.5000
Y 0.0000 0.5000 0.0000
Y 0.5000 0.0000 0.0000
Cd 0.5000 0.5000 0.5000

Summary:
**SG**: No. 221
**E_tot**: -3.313 eV/atom
**Energy above the lowest structure with this stoichiometry**: 822 meV per atom



DFT (PBE) results for SrY4Cd5 after structural relaxation.

a = 3.7976 Å, b = 3.7976 Å, c = 19.1200 Å
α = 90.00°, β = 90.00°, γ = 90.00°
Atoms (fractional coordinates):
Sr 0.0000 0.0000 0.0000
Y 0.0000 0.0000 0.2099
Y 0.0000 0.0000 0.4035
Y 0.0000 0.0000 0.5965
Y 0.0000 0.0000 0.7901
Cd 0.5000 0.5000 0.1178
Cd 0.5000 0.5000 0.3064
Cd 0.5000 0.5000 0.5000
Cd 0.5000 0.5000 0.6936
Cd 0.5000 0.5000 0.8822

Summary:
**SG**: No. 123
**E_tot**: -3.556 eV/atom



DFT (PBE) results for SrYCd17 after structural relaxation.

a = 7.7256 Å, b = 7.7256 Å, c = 7.7256 Å
α = 82.13°, β = 82.13°, γ = 82.13°
Atoms (fractional coordinates):
Sr 0.0000 0.0000 0.0000
Y 0.6627 0.6627 0.6627
Cd 0.0333 0.3375 0.6329
Cd 0.0333 0.6329 0.3375
Cd 0.2077 0.6832 0.6832
Cd 0.2436 0.2436 0.2436
Cd 0.3162 0.3162 0.8561
Cd 0.3162 0.8561 0.3162
Cd 0.3375 0.0333 0.6329
Cd 0.3375 0.6329 0.0333
Cd 0.4410 0.4410 0.4410
Cd 0.5337 0.9588 0.9588
Cd 0.6329 0.0333 0.3375
Cd 0.6329 0.3375 0.0333
Cd 0.6832 0.2077 0.6832
Cd 0.6832 0.6832 0.2077
Cd 0.8561 0.3162 0.3162
Cd 0.9588 0.5337 0.9588
Cd 0.9588 0.9588 0.5337

Summary:
**SG**: No. 160
**E_tot**: -1.386 eV/atom



DFT (PBE) results for SrYCd4 after structural relaxation.

a = 6.0497 Å, b = 6.0497 Å, c = 6.0497 Å
α = 60.00°, β = 60.00°, γ = 60.00°
Atoms (fractional coordinates):
Sr 0.0000 0.0000 0.0000
Y 0.7500 0.7500 0.7500
Cd 0.3757 0.3757 0.3757
Cd 0.3757 0.3757 0.8729
Cd 0.3757 0.8729 0.3757
Cd 0.8729 0.3757 0.3757

Summary:
**SG**: No. 216
**E_tot**: -2.231 eV/atom
**Energy above the lowest structure with this stoichiometry**: 47 meV per atom



DFT (PBE) results for Sr3YCd after structural relaxation.

a = 6.6408 Å, b = 6.6408 Å, c = 6.6408 Å
α = 90.00°, β = 90.00°, γ = 90.00°
Atoms (fractional coordinates):
Sr 0.0000 0.0000 0.5000
Sr 0.0000 0.5000 0.0000
Sr 0.5000 0.0000 0.0000
Y 0.0000 0.0000 0.0000
Cd 0.5000 0.5000 0.5000

Summary:
**SG**: No. 221
**E_tot**: -1.743 eV/atom
**Energy above the lowest structure with this stoichiometry**: 455 meV per atom



DFT (PBE) results for SrYCd4 after structural relaxation.

a = 3.5928 Å, b = 5.0532 Å, c = 8.8111 Å
α = 90.00°, β = 90.00°, γ = 90.00°
Atoms (fractional coordinates):
Sr 0.0000 0.0000 0.0000
Y 0.0000 0.5000 0.5000
Cd 0.5000 0.0000 0.3395
Cd 0.5000 0.0000 0.6605
Cd 0.5000 0.5000 0.1744
Cd 0.5000 0.5000 0.8256

Summary:
**SG**: No. 47
**E_tot**: -2.279 eV/atom
**Energy above the lowest structure with this stoichiometry**: 0 meV per atom